No. 1
# LuPt SCAN PBEsol geometry
data_LuPt
_chemical_formula_sum 'Lu4 Pt4'
_cell_length_a 6.6481
_cell_length_b 4.4364
_cell_length_c 5.4151
_cell_angle_alpha 90.00
_cell_angle_beta 90.00
_cell_angle_gamma 90.00
_space_group_name_H-M_alt 'P 1'
_space_group_IT_number 1
loop_
_space_group_symop_operation_xyz
'x,y,z'
loop_
_atom_site_label
_atom_site_fract_x
_atom_site_fract_y
_atom_site_fract_z
Lu1 0.1809 0.2500 0.1429
Lu2 0.3191 0.7500 0.6429
Lu3 0.6809 0.2500 0.3571
Lu4 0.8191 0.7500 0.8571
Pt1 0.0428 0.2500 0.6575
Pt2 0.4572 0.7500 0.1575
Pt3 0.5428 0.2500 0.8425
Pt4 0.9572 0.7500 0.3425
# Crystal system   orthorhombic
# E   -128.68 eV per formula unit
# Formation energy   -1.570 eV per atom
# Total magnetization   0.00 μB/f.u.


No. 2
# Lu3Pt SCAN PBEsol geometry
data_Lu3Pt
_chemical_formula_sum 'Lu12 Pt4'
_cell_length_a 6.8046
_cell_length_b 9.0524
_cell_length_c 6.2990
_cell_angle_alpha 90.00
_cell_angle_beta 90.00
_cell_angle_gamma 90.00
_space_group_name_H-M_alt 'P 1'
_space_group_IT_number 1
loop_
_space_group_symop_operation_xyz
'x,y,z'
loop_
_atom_site_label
_atom_site_fract_x
_atom_site_fract_y
_atom_site_fract_z
Lu1 0.0232 0.2500 0.1175
Lu2 0.1846 0.0578 0.6842
Lu3 0.1846 0.4422 0.6842
Lu4 0.3154 0.5578 0.1842
Lu5 0.3154 0.9422 0.1842
Lu6 0.4768 0.7500 0.6175
Lu7 0.5232 0.2500 0.3825
Lu8 0.6846 0.0578 0.8158
Lu9 0.6846 0.4422 0.8158
Lu10 0.8154 0.5578 0.3158
Lu11 0.8154 0.9422 0.3158
Lu12 0.9768 0.7500 0.8825
Pt1 0.1033 0.7500 0.4611
Pt2 0.3967 0.2500 0.9611
Pt3 0.6033 0.7500 0.0389
Pt4 0.8967 0.2500 0.5389
# Crystal system   orthorhombic
# E   -239.95 eV per formula unit
# Formation energy   -0.932 eV per atom
# Total magnetization   0.00 μB/f.u.


No. 3
# Lu2RuPt SCAN PBEsol geometry
data_Lu2RuPt
_chemical_formula_sum 'Lu2 Ru1 Pt1'
_cell_length_a 4.6874
_cell_length_b 4.6874
_cell_length_c 4.6874
_cell_angle_alpha 60.00
_cell_angle_beta 60.00
_cell_angle_gamma 60.00
_space_group_name_H-M_alt 'P 1'
_space_group_IT_number 1
loop_
_space_group_symop_operation_xyz
'x,y,z'
loop_
_atom_site_label
_atom_site_fract_x
_atom_site_fract_y
_atom_site_fract_z
Lu1 0.2500 0.2500 0.2500
Lu2 0.7500 0.7500 0.7500
Ru1 0.0000 0.0000 0.0000
Pt1 0.5000 0.5000 0.5000
# Crystal system   cubic
# E   -220.21 eV per formula unit
# Formation energy   -1.126 eV per atom
# Total magnetization   0.00 μB/f.u.


No. 4
# LuSiPt SCAN PBEsol geometry
data_LuSiPt
_chemical_formula_sum 'Lu4 Si4 Pt4'
_cell_length_a 6.7554
_cell_length_b 4.2078
_cell_length_c 7.3153
_cell_angle_alpha 90.00
_cell_angle_beta 90.00
_cell_angle_gamma 90.00
_space_group_name_H-M_alt 'P 1'
_space_group_IT_number 1
loop_
_space_group_symop_operation_xyz
'x,y,z'
loop_
_atom_site_label
_atom_site_fract_x
_atom_site_fract_y
_atom_site_fract_z
Lu1 0.0034 0.2500 0.2001
Lu2 0.4966 0.7500 0.7001
Lu3 0.5034 0.2500 0.2999
Lu4 0.9966 0.7500 0.7999
Si1 0.1873 0.2500 0.5885
Si2 0.3127 0.7500 0.0885
Si3 0.6873 0.2500 0.9115
Si4 0.8127 0.7500 0.4115
Pt1 0.2009 0.7500 0.4145
Pt2 0.2991 0.2500 0.9145
Pt3 0.7009 0.7500 0.0855
Pt4 0.7991 0.2500 0.5855
# Crystal system   orthorhombic
# E   -139.79 eV per formula unit
# Total magnetization   0.00 μB/f.u.


No. 5
# Lu2ZnPt SCAN PBEsol geometry
data_Lu2ZnPt
_chemical_formula_sum 'Lu2 Zn1 Pt1'
_cell_length_a 4.7982
_cell_length_b 4.7982
_cell_length_c 4.7982
_cell_angle_alpha 60.00
_cell_angle_beta 60.00
_cell_angle_gamma 60.00
_space_group_name_H-M_alt 'P 1'
_space_group_IT_number 1
loop_
_space_group_symop_operation_xyz
'x,y,z'
loop_
_atom_site_label
_atom_site_fract_x
_atom_site_fract_y
_atom_site_fract_z
Lu1 0.2500 0.2500 0.2500
Lu2 0.7500 0.7500 0.7500
Zn1 0.0000 0.0000 0.0000
Pt1 0.5000 0.5000 0.5000
# Crystal system   cubic
# E   -198.58 eV per formula unit
# Formation energy   -1.045 eV per atom
# Total magnetization   0.00 μB/f.u.


No. 6
# RbLuS2 SCAN PBEsol geometry
data_RbLuS2
_chemical_formula_sum 'Rb1 Lu1 S2'
_cell_length_a 7.8790
_cell_length_b 7.8790
_cell_length_c 7.8790
_cell_angle_alpha 28.87
_cell_angle_beta 28.87
_cell_angle_gamma 28.87
_space_group_name_H-M_alt 'P 1'
_space_group_IT_number 1
loop_
_space_group_symop_operation_xyz
'x,y,z'
loop_
_atom_site_label
_atom_site_fract_x
_atom_site_fract_y
_atom_site_fract_z
Rb1 0.0000 0.0000 0.0000
Lu1 0.5000 0.5000 0.5000
S1 0.2300 0.2300 0.2300
S2 0.7700 0.7700 0.7700
# Crystal system   trigonal
# E   -103.79 eV per formula unit
# Total magnetization   0.00 μB/f.u.


No. 7
# LuRh SCAN PBEsol geometry
data_LuRh
_chemical_formula_sum 'Lu1 Rh1'
_cell_length_a 3.2962
_cell_length_b 3.2962
_cell_length_c 3.2962
_cell_angle_alpha 90.00
_cell_angle_beta 90.00
_cell_angle_gamma 90.00
_space_group_name_H-M_alt 'P 1'
_space_group_IT_number 1
loop_
_space_group_symop_operation_xyz
'x,y,z'
loop_
_atom_site_label
_atom_site_fract_x
_atom_site_fract_y
_atom_site_fract_z
Lu1 0.0000 0.0000 0.0000
Rh1 0.5000 0.5000 0.5000
# Crystal system   cubic
# E   -91.46 eV per formula unit
# Formation energy   -1.173 eV per atom
# Total magnetization   0.00 μB/f.u.


No. 8
# LuRh2 SCAN PBEsol geometry
data_LuRh2
_chemical_formula_sum 'Lu2 Rh4'
_cell_length_a 5.2005
_cell_length_b 5.2005
_cell_length_c 5.2005
_cell_angle_alpha 60.00
_cell_angle_beta 60.00
_cell_angle_gamma 60.00
_space_group_name_H-M_alt 'P 1'
_space_group_IT_number 1
loop_
_space_group_symop_operation_xyz
'x,y,z'
loop_
_atom_site_label
_atom_site_fract_x
_atom_site_fract_y
_atom_site_fract_z
Lu1 0.1250 0.1250 0.1250
Lu2 0.8750 0.8750 0.8750
Rh1 0.0000 0.5000 0.5000
Rh2 0.5000 0.0000 0.5000
Rh3 0.5000 0.5000 0.0000
Rh4 0.5000 0.5000 0.5000
# Crystal system   cubic
# E   -125.52 eV per formula unit
# Formation energy   -0.879 eV per atom
# Total magnetization   0.00 μB/f.u.